[1]
Crystalline BaSr2CaS4 at its relaxed geometry. Source: Alexandria via LeMat-Bulk, functional PBE-GGA.

Summary:
E_form (uncorrected)	-16.71	eV per formula unit
energy	-5.06	eV per atom

Lattice parameters (Å, degrees): 7.460 4.307 7.469 90.00 109.44 90.00
Space group P2/m (No. 10)
One atom of each set of equivalent atoms:
Ba  0.000  0.000  0.000 [1 per cell]
Sr  0.500  0.000  0.500 [1 per cell]
Sr  0.500  0.500  0.000 [1 per cell]
Ca  0.000  0.500  0.500 [1 per cell]
S  0.247  0.000  0.737 [2 per cell]
S  0.256  0.500  0.265 [2 per cell]

[2]
Crystalline Ba2SrCaS at its relaxed geometry. Source: Alexandria via LeMat-Bulk, functional PBE-GGA.

Summary:
polymorph energy (0 for the lowest one)	0	meV per atom
E_form (uncorrected)	-3.71	eV per formula unit
energy	-3.07	eV per atom

Lattice parameters (Å, degrees): 6.359 6.359 5.896 90.00 90.00 90.00
Space group P4/mmm (No. 123)
One atom of each set of equivalent atoms:
Ba  0.000  0.500  0.000 [2 per cell]
Sr  0.000  0.000  0.500 [1 per cell]
Ca  0.500  0.500  0.500 [1 per cell]
S  0.000  0.000  0.000 [1 per cell]

[3]
Crystalline BaSrCa2S at its relaxed geometry. Source: Alexandria via LeMat-Bulk, functional PBE-GGA.

Summary:
polymorph energy (0 for the lowest one)	46	meV per atom
E_form (uncorrected)	-3.26	eV per formula unit
energy	-3.00	eV per atom

Lattice parameters (Å, degrees): 5.801 5.801 6.135 90.00 90.00 90.00
Space group P4/mmm (No. 123)
One atom of each set of equivalent atoms:
Ba  0.000  0.000  0.000 [1 per cell]
Sr  0.500  0.500  0.000 [1 per cell]
Ca  0.000  0.500  0.500 [2 per cell]
S  0.500  0.500  0.500 [1 per cell]

[4]
Crystalline BaSr2CaS at its relaxed geometry. Source: Alexandria via LeMat-Bulk, functional PBE-GGA.

Summary:
polymorph energy (0 for the lowest one)	68	meV per atom
E_form (uncorrected)	-3.37	eV per formula unit
energy	-2.96	eV per atom

Lattice parameters (Å, degrees): 6.156 6.156 5.760 90.00 90.00 90.00
Space group P4/mmm (No. 123)
One atom of each set of equivalent atoms:
Ba  0.000  0.000  0.000 [1 per cell]
Sr  0.000  0.500  0.500 [2 per cell]
Ca  0.500  0.500  0.000 [1 per cell]
S  0.500  0.500  0.500 [1 per cell]

[5]
Crystalline Ba2CaTe2S6 at its relaxed geometry. Source: Alexandria via LeMat-Bulk, functional PBE-GGA.

Summary:
E_form (uncorrected)	-10.77	eV per formula unit
energy	-4.33	eV per atom

Lattice parameters (Å, degrees): 13.879 7.382 7.724 90.00 121.08 90.00
Space group C2/m (No. 12)
One atom of each set of equivalent atoms:
Ba  0.237  0.000  0.216 [4 per cell]
Ca  0.000  0.000  0.500 [2 per cell]
Te  0.041  0.500  0.231 [4 per cell]
S  0.086  0.245  0.825 [8 per cell]
S  0.238  0.000  0.637 [4 per cell]

[6]
Crystalline BaCa2TlS4 at its relaxed geometry. Source: Alexandria via LeMat-Bulk, functional PBE-GGA.

Summary:
E_form (uncorrected)	-11.76	eV per formula unit
energy	-4.57	eV per atom

Lattice parameters (Å, degrees): 4.371 14.157 14.249 90.00 90.00 90.00
Space group Cmcm (No. 63)
One atom of each set of equivalent atoms:
Ba  0.000  0.132  0.250 [4 per cell]
Ca  0.000  0.376  0.047 [8 per cell]
Tl  0.000  0.134  0.750 [4 per cell]
S  0.000  0.000  0.000 [4 per cell]
S  0.000  0.261  0.612 [8 per cell]
S  0.000  0.469  0.250 [4 per cell]